Entry 1:
The following is a PBE calculation of a relaxed Y4InH crystal, from Alexandria via LeMat-Bulk.

```
Y4InH
1.0
-1.871 5.591 -1.718
-6.148 -2.461 -1.322
0.832 -0.605 8.087
Y In H
8 2 2
direct
0.480 0.058 0.799
0.681 0.442 0.201
0.520 0.942 0.201
0.319 0.558 0.799
0.895 0.855 0.620
0.275 0.644 0.380
0.105 0.145 0.380
0.725 0.356 0.620
0.906 0.750 0.000
0.094 0.250 0.000
0.500 0.000 0.500
0.000 0.500 0.500
```

Output
Its total energy is -5.567 eV/atom. The value obtained for the density of states at the Fermi level is 6.20 states/eV/f.u. The space group is No. 15.

Entry 2:
The following is a PBE calculation of a relaxed Ho2Be3CuPt4 crystal, from Alexandria via LeMat-Bulk.

```
Ho2Be3CuPt4
1.0
3.977 0.000 0.000
0.000 3.977 0.000
0.000 0.000 9.977
Ho Be Cu Pt
2 3 1 4
direct
0.500 0.000 0.247
0.000 0.500 0.753
0.000 0.000 0.500
0.500 0.000 0.879
0.000 0.500 0.121
0.500 0.500 0.500
0.500 0.500 0.000
0.000 0.000 0.000
0.500 0.000 0.650
0.000 0.500 0.350
```

Output
Its total energy is -5.716 eV/atom. The value obtained for the formation enthalpy at 0 K is -857 meV/atom. The value obtained for the density of states at the Fermi level is 4.66 states/eV/f.u. The space group is No. 115.

Entry 3:
The following is a PBE calculation of a relaxed FeC2Cl crystal, from Alexandria via LeMat-Bulk.

```
FeC2Cl
1.0
4.982 0.000 0.000
0.000 4.982 0.000
2.491 2.491 4.518
C Fe Cl
4 2 2
direct
0.761 0.125 0.250
0.989 0.625 0.250
0.375 0.239 0.750
0.875 0.011 0.750
0.000 0.000 0.000
0.750 0.250 0.500
0.500 0.500 0.000
0.250 0.750 0.500
```

Output
Its total energy is -5.753 eV/atom. The formation energy without anion corrections is 1.44 eV/atom. The value obtained for the density of states at the Fermi level is 3.35 states/eV/f.u. For the excess energy over the best structure of this formula in the dataset, the calculation gives 0 meV/atom. The space group is No. 122.